[1]
Computed, not measured: a relaxed NaBeCl2 crystal at the GGA-PBE level of DFT.

```
data_NaBeCl2
_cell_length_a 6.6084
_cell_length_b 6.6084
_cell_length_c 6.6084
_cell_angle_alpha 120.76
_cell_angle_beta 120.76
_cell_angle_gamma 88.69
_symmetry_space_group_name_H-M 'P 1'
_symmetry_Int_Tables_number 1
_symmetry_space_group_name_Hall 'P 1'
loop_
_atom_site_label
_atom_site_type_symbol
_atom_site_fract_x
_atom_site_fract_y
_atom_site_fract_z
Na1 Na 0.0000 0.0000 0.0000
Na2 Na 0.7500 0.2500 0.5000
Be1 Be 0.2500 0.7500 0.5000
Be2 Be 0.5000 0.5000 0.0000
Cl1 Cl 0.2781 0.6250 0.1531
Cl2 Cl 0.3750 0.5281 0.6531
Cl3 Cl 0.4719 0.1250 0.8469
Cl4 Cl 0.8750 0.7219 0.3469
```

Output
ρ   1.7 g/cm³
Total magnetization   0.00 μB per atom
Uncorrected energy   -2.89 eV per atom
E above lowest polymorph   0.072 eV/atom
SG   I-42d, No. 122

[2]
Computed, not measured: a relaxed Na2Be2Cl7 crystal at the GGA-PBE level of DFT.

```
data_Na2Be2Cl7
_cell_length_a 7.0862
_cell_length_b 7.0862
_cell_length_c 6.2129
_cell_angle_alpha 98.87
_cell_angle_beta 98.87
_cell_angle_gamma 108.31
_symmetry_space_group_name_H-M 'P 1'
_symmetry_Int_Tables_number 1
_symmetry_space_group_name_Hall 'P 1'
loop_
_atom_site_label
_atom_site_type_symbol
_atom_site_fract_x
_atom_site_fract_y
_atom_site_fract_z
Na1 Na 0.1967 0.8033 0.0000
Na2 Na 0.8033 0.1967 0.0000
Be1 Be 0.2655 0.2655 0.6255
Be2 Be 0.7345 0.7345 0.3745
Cl1 Cl 0.1056 0.4001 0.7777
Cl2 Cl 0.1553 0.1553 0.2938
Cl3 Cl 0.4001 0.1056 0.7777
Cl4 Cl 0.5000 0.5000 0.5000
Cl5 Cl 0.5999 0.8944 0.2223
Cl6 Cl 0.8447 0.8447 0.7062
Cl7 Cl 0.8944 0.5999 0.2223
```

Output
ρ   1.8 g/cm³
Total magnetization   0.08 μB per atom
Uncorrected energy   -3.43 eV per atom
SG   C2/m, No. 12

[3]
Computed, not measured: a relaxed Na3BeCl4 crystal at the GGA-PBE level of DFT.

```
data_Na3BeCl4
_cell_length_a 8.5008
_cell_length_b 8.8220
_cell_length_c 6.0930
_cell_angle_alpha 90.00
_cell_angle_beta 90.00
_cell_angle_gamma 90.00
_symmetry_space_group_name_H-M 'P 1'
_symmetry_Int_Tables_number 1
_symmetry_space_group_name_Hall 'P 1'
loop_
_atom_site_label
_atom_site_type_symbol
_atom_site_fract_x
_atom_site_fract_y
_atom_site_fract_z
Na1 Na 0.0000 0.1472 0.0000
Na2 Na 0.2458 0.6618 0.9847
Na3 Na 0.2542 0.3382 0.4847
Na4 Na 0.5000 0.8528 0.5000
Na5 Na 0.7458 0.3382 0.4847
Na6 Na 0.7542 0.6618 0.9847
Be1 Be 0.0000 0.8732 0.5368
Be2 Be 0.5000 0.1268 0.0368
Cl1 Cl 0.0000 0.1023 0.4580
Cl2 Cl 0.0000 0.8550 0.8717
Cl3 Cl 0.1958 0.7664 0.4245
Cl4 Cl 0.3042 0.2336 0.9245
Cl5 Cl 0.5000 0.1450 0.3717
Cl6 Cl 0.5000 0.8977 0.9580
Cl7 Cl 0.6958 0.2336 0.9245
Cl8 Cl 0.8042 0.7664 0.4245
```

Output
ρ   1.6 g/cm³
Total magnetization   0.00 μB per atom
Uncorrected energy   -3.22 eV per atom
SG   Pmn2_1, No. 31

[4]
Computed, not measured: a relaxed NaBe2Cl6 crystal at the GGA-PBE level of DFT.

```
data_NaBe2Cl6
_cell_length_a 9.0117
_cell_length_b 9.0117
_cell_length_c 6.0377
_cell_angle_alpha 99.59
_cell_angle_beta 99.59
_cell_angle_gamma 86.56
_symmetry_space_group_name_H-M 'P 1'
_symmetry_Int_Tables_number 1
_symmetry_space_group_name_Hall 'P 1'
loop_
_atom_site_label
_atom_site_type_symbol
_atom_site_fract_x
_atom_site_fract_y
_atom_site_fract_z
Na1 Na 0.1084 0.8916 0.7500
Na2 Na 0.8916 0.1084 0.2500
Be1 Be 0.2044 0.3416 0.7608
Be2 Be 0.3416 0.2044 0.2609
Be3 Be 0.6584 0.7956 0.7392
Be4 Be 0.7956 0.6584 0.2392
Cl1 Cl 0.0446 0.1936 0.6805
Cl2 Cl 0.1169 0.5425 0.9153
Cl3 Cl 0.1936 0.0446 0.1805
Cl4 Cl 0.2818 0.3927 0.4822
Cl5 Cl 0.3927 0.2818 0.9822
Cl6 Cl 0.4575 0.8831 0.5847
Cl7 Cl 0.5425 0.1169 0.4153
Cl8 Cl 0.6073 0.7182 0.0178
Cl9 Cl 0.7182 0.6073 0.5178
Cl10 Cl 0.8064 0.9554 0.8195
Cl11 Cl 0.8831 0.4575 0.0847
Cl12 Cl 0.9554 0.8064 0.3195
```

Output
ρ   1.8 g/cm³
Total magnetization   0.11 μB per atom
Uncorrected energy   -3.45 eV per atom
SG   C2/c, No. 15

[5]
Computed, not measured: a relaxed Na2BeCl4 crystal at the GGA-PBE level of DFT.

```
data_Na2BeCl4
_cell_length_a 6.7425
_cell_length_b 6.7425
_cell_length_c 6.7688
_cell_angle_alpha 114.85
_cell_angle_beta 114.85
_cell_angle_gamma 34.06
_symmetry_space_group_name_H-M 'P 1'
_symmetry_Int_Tables_number 1
_symmetry_space_group_name_Hall 'P 1'
loop_
_atom_site_label
_atom_site_type_symbol
_atom_site_fract_x
_atom_site_fract_y
_atom_site_fract_z
Na1 Na 0.2079 0.2079 0.2093
Na2 Na 0.7921 0.7921 0.7907
Be1 Be 0.5000 0.5000 0.5000
Cl1 Cl 0.1292 0.1292 0.7609
Cl2 Cl 0.4023 0.4023 0.6587
Cl3 Cl 0.5977 0.5977 0.3413
Cl4 Cl 0.8708 0.8708 0.2391
```

Output
ρ   2.1 g/cm³
Total magnetization   0.00 μB per atom
Uncorrected energy   -3.41 eV per atom
E above lowest polymorph   0.222 eV/atom
SG   C2/m, No. 12

[6]
Computed, not measured: a relaxed Na2BeCl4 crystal at the GGA-PBE level of DFT.

```
data_Na2BeCl4
_cell_length_a 13.6108
_cell_length_b 8.1675
_cell_length_c 6.1260
_cell_angle_alpha 90.00
_cell_angle_beta 90.00
_cell_angle_gamma 90.00
_symmetry_space_group_name_H-M 'P 1'
_symmetry_Int_Tables_number 1
_symmetry_space_group_name_Hall 'P 1'
loop_
_atom_site_label
_atom_site_type_symbol
_atom_site_fract_x
_atom_site_fract_y
_atom_site_fract_z
Na1 Na 0.0000 0.0000 0.0000
Na2 Na 0.0000 0.5000 0.0000
Na3 Na 0.2266 0.2500 0.4839
Na4 Na 0.2734 0.7500 0.9839
Na5 Na 0.5000 0.0000 0.5000
Na6 Na 0.5000 0.5000 0.5000
Na7 Na 0.7266 0.2500 0.0161
Na8 Na 0.7734 0.7500 0.5161
Be1 Be 0.0932 0.7500 0.4053
Be2 Be 0.4068 0.2500 0.9053
Be3 Be 0.5932 0.7500 0.0947
Be4 Be 0.9068 0.2500 0.5947
Cl1 Cl 0.0482 0.2500 0.7144
Cl2 Cl 0.0941 0.7500 0.7350
Cl3 Cl 0.1629 0.5486 0.2788
Cl4 Cl 0.1629 0.9514 0.2788
Cl5 Cl 0.3371 0.0486 0.7788
Cl6 Cl 0.3371 0.4514 0.7788
Cl7 Cl 0.4059 0.2500 0.2350
Cl8 Cl 0.4518 0.7500 0.2144
Cl9 Cl 0.5482 0.2500 0.7856
Cl10 Cl 0.5941 0.7500 0.7650
Cl11 Cl 0.6629 0.5486 0.2212
Cl12 Cl 0.6629 0.9514 0.2212
Cl13 Cl 0.8371 0.0486 0.7212
Cl14 Cl 0.8371 0.4514 0.7212
Cl15 Cl 0.9059 0.2500 0.2650
Cl16 Cl 0.9518 0.7500 0.2856
```

Output
ρ   1.9 g/cm³
Total magnetization   0.00 μB per atom
Uncorrected energy   -3.63 eV per atom
E above lowest polymorph   0.000 eV/atom
SG   Pnma, No. 62